Entry 1:
CeMg2CdCo | PBE-GGA | optimized geometry

Unit cell a=5.0283 b=5.0283 c=4.7416 alpha=90.00 beta=90.00 gamma=90.00
With the nearest neighbours (Å) after each atom.
Space group P4mm (No. 99)
Symmetry-distinct sites (fractional):
Ce (0.0000, 0.0000, 0.0000) (multiplicity 1)  1 Co 2.20
Mg (0.0000, 0.5000, 0.4979) (multiplicity 2)  2 Co 2.52
Cd (0.5000, 0.5000, 0.0119) (multiplicity 1)  8 Mg 3.41-3.50, 4 Ce 3.56
Co (0.0000, 0.0000, 0.5362) (multiplicity 1)  1 Ce 2.20

Magnetic moment in μB/f.u.: 0.1
Formation energy from the elements in eV/atom: -0.123
Total DFT energy (no corrections) in eV per atom: -3.552

Entry 2:
Hf5Pa2Bi4 | PBE-GGA | optimized geometry

Unit cell a=3.9798 b=9.5023 c=15.4711 alpha=90.00 beta=90.00 gamma=90.00
With the nearest neighbours (Å) after each atom.
Space group Immm (No. 71)
Symmetry-distinct sites (fractional):
Hf (0.0000, 0.0000, 0.0000) (multiplicity 2)  8 Bi 3.15-3.44
Hf (0.0000, 0.1713, 0.3002) (multiplicity 8)  3 Hf 2.93-3.26, 2 Pa 3.10, 4 Bi 3.14-3.17
Pa (0.0000, 0.5000, 0.0878) (multiplicity 4)  1 Pa 2.72
Bi (0.0000, 0.2434, 0.5000) (multiplicity 4)  4 Hf 3.15-3.17, 4 Pa 3.34
Bi (0.0000, 0.5000, 0.3184) (multiplicity 4)  8 Hf 3.14-3.44

Magnetic moment in μB/f.u.: 0.0
Formation energy from the elements in eV/atom: 0.221
Total DFT energy (no corrections) in eV per atom: -7.441

Entry 3:
PaCuSn2 | PBE-GGA | optimized geometry

Unit cell a=7.1896 b=7.1896 c=7.1896 alpha=90.00 beta=90.00 gamma=90.00
With the nearest neighbours (Å) after each atom.
Space group Fm-3m (No. 225)
Symmetry-distinct sites (fractional):
Pa (0.0000, 0.0000, 0.0000) (multiplicity 4)  8 Sn 3.11
Cu (0.0000, 0.0000, 0.5000) (multiplicity 4)  8 Sn 3.11
Sn (0.2500, 0.2500, 0.2500) (multiplicity 8)  4 Pa 3.11, 4 Cu 3.11

Magnetic moment in μB/f.u.: 0.7
Polymorph energy (0 for the lowest one) in meV per atom: 397
Formation energy from the elements in eV/atom: 0.153
Total DFT energy (no corrections) in eV per atom: -5.246

Question: Which of these has the lowest formation energy from the elements?
Answer: CeMg2CdCo

Question: formation energy from the elements of number 3 (PaCuSn2)?
Answer: 0.153 eV/atom